# 1
The following is a DFT calculation (PBE) of a relaxed structure of TaIN2.

Cell and atoms, written as POSCAR:
```
TaIN2
1.0
5.8564 0.0000 0.0000
0.0000 5.8564 0.0000
0.0000 0.0000 5.8564
Ta I N
4 4 8
Direct
0.0000 0.0000 0.0000
0.0000 0.5000 0.5000
0.5000 0.0000 0.5000
0.5000 0.5000 0.0000
0.0000 0.0000 0.5000
0.0000 0.5000 0.0000
0.5000 0.0000 0.0000
0.5000 0.5000 0.5000
0.2500 0.2500 0.2500
0.2500 0.2500 0.7500
0.2500 0.7500 0.2500
0.2500 0.7500 0.7500
0.7500 0.2500 0.2500
0.7500 0.2500 0.7500
0.7500 0.7500 0.2500
0.7500 0.7500 0.7500
```

## Properties
Space-group type: Fm-3m, No. 225
Crystal system: cubic
Polymorph energy (0 for the lowest one): 1533 meV/atom
Raw formation energy: 1.490 eV per atom
VASP energy: -6.024 eV per atom

# 2
The following is a DFT calculation (PBE) of a relaxed structure of TaIN.

Cell and atoms, written as POSCAR:
```
TaIN
1.0
8.2204 0.0000 0.0000
0.0000 5.8558 0.0000
-1.2404 0.0000 6.8784
Ta I N
4 4 4
Direct
0.0268 0.1255 0.3209
0.0268 0.3745 0.8209
0.9732 0.6255 0.1791
0.9732 0.8745 0.6791
0.2940 0.6471 0.7634
0.2940 0.8529 0.2634
0.7060 0.1471 0.7366
0.7060 0.3529 0.2366
0.0835 0.1751 0.6002
0.0835 0.3249 0.1002
0.9165 0.6751 0.8998
0.9165 0.8249 0.3998
```

## Properties
Space-group type: P2_1/c, No. 14
Crystal system: monoclinic
Raw formation energy: -0.520 eV per atom
VASP energy: -7.762 eV per atom

# 3
The following is a DFT calculation (PBE) of a relaxed structure of TaI2N2.

Cell and atoms, written as POSCAR:
```
TaI2N2
1.0
4.1882 0.0000 0.0000
0.0000 4.1882 0.0000
0.0000 0.0000 6.0972
Ta I N
1 2 2
Direct
0.0000 0.0000 0.0000
0.0000 0.0000 0.5000
0.5000 0.5000 0.5000
0.0000 0.5000 0.0000
0.5000 0.0000 0.0000
```

## Properties
Space-group type: P4/mmm, No. 123
Crystal system: tetragonal
Polymorph energy (0 for the lowest one): 0 meV/atom
Raw formation energy: 0.647 eV per atom
VASP energy: -5.674 eV per atom

# 4
The following is a DFT calculation (PBE) of a relaxed structure of Ta2IN.

Cell and atoms, written as POSCAR:
```
Ta2IN
1.0
5.4186 0.0000 0.0000
0.0000 5.4186 0.0000
0.0000 0.0000 11.2471
Ta I N
8 4 4
Direct
0.1096 0.2500 0.1250
0.2500 0.6096 0.3750
0.2500 0.8904 0.8750
0.3904 0.2500 0.6250
0.6096 0.7500 0.6250
0.7500 0.1096 0.8750
0.7500 0.3904 0.3750
0.8904 0.7500 0.1250
0.0000 0.0000 0.5000
0.0000 0.5000 0.7500
0.5000 0.0000 0.2500
0.5000 0.5000 0.0000
0.0000 0.0000 0.0000
0.0000 0.5000 0.2500
0.5000 0.0000 0.7500
0.5000 0.5000 0.5000
```

## Properties
Space-group type: I-42d, No. 122
Crystal system: tetragonal
Raw formation energy: 0.302 eV per atom
VASP energy: -8.093 eV per atom

| no. | DOS at the Fermi energy (states/eV per atom) |
| --- | --- |
| 1 | 0.77 |
| 2 | 0.45 |
| 3 | 0.46 |
| 4 | 0.90 |